A plane-wave DFT calculation with PBE was carried out for crystalline CsLiTl2Hg at its relaxed geometry.

magnetization: 0.0 μB per formula unit
energy of formation from the pure elements: -63 meV/atom

Cell lengths 5.4994, 5.4994, 5.5683 Å; angles 90.00, 90.00, 90.00 degrees
Closest atoms and distances in Å follow each position.
Fractional positions:
Cs  0.0000  0.0000  0.0000  4 Hg 3.89, 8 Tl 3.91
Li  0.5000  0.5000  0.5000  4 Tl 2.75, 2 Hg 2.78
Tl  0.0000  0.5000  0.5000  2 Li 2.75
Tl  0.5000  0.0000  0.5000  2 Li 2.75
Hg  0.5000  0.5000  0.0000  2 Li 2.78

A plane-wave DFT calculation with PBE was carried out for crystalline Cs2LiYHg at its relaxed geometry.

magnetization: 1.0 μB per formula unit
energy of formation from the pure elements: 576 meV/atom

Cell lengths 6.9826, 6.9826, 6.0291 Å; angles 90.00, 90.00, 90.00 degrees
Closest atoms and distances in Å follow each position.
Fractional positions:
Cs  0.0000  0.5000  0.0000  2 Li 3.49
Cs  0.5000  0.0000  0.0000  2 Li 3.49
Li  0.0000  0.0000  0.0000  2 Y 3.01
Y  0.0000  0.0000  0.5000  2 Li 3.01
Hg  0.5000  0.5000  0.5000  8 Cs 4.61, 4 Y 4.94

A plane-wave DFT calculation with PBE was carried out for crystalline CsLi2ZnHg at its relaxed geometry.

magnetization: 0.0 μB per formula unit
energy of formation from the pure elements: 22 meV/atom

Cell lengths 5.5508, 5.5508, 5.1048 Å; angles 90.00, 90.00, 90.00 degrees
Closest atoms and distances in Å follow each position.
Fractional positions:
Cs  0.0000  0.0000  0.0000  8 Li 3.77, 4 Zn 3.93
Li  0.0000  0.5000  0.5000  2 Hg 2.78
Li  0.5000  0.0000  0.5000  2 Hg 2.78
Zn  0.5000  0.5000  0.0000  2 Hg 2.55
Hg  0.5000  0.5000  0.5000  2 Zn 2.55, 4 Li 2.78

Number 1: density of states at the Fermi level 2.55 states/eV per cell. Number 2: density of states at the Fermi level 5.02 states/eV per cell. Number 3: density of states at the Fermi level 3.02 states/eV per cell.